Entry 1:
This record from the Alexandria database describes a relaxed structure of LaRh3. The functional is GGA-PBE.

The structure in extended XYZ format:
```
12
Lattice="9.4509 0.0048 0.0030 7.9325 5.1376 0.0030 7.9325 2.3466 4.5703" Properties=species:S:1:pos:R:3 pbc="T T T"
Rh 10.7505 1.7869 2.6577
Rh 16.8957 4.9981 3.0542
Rh 10.7505 3.1802 0.3776
Rh 14.5654 5.7021 1.9186
Rh 14.5654 4.3088 4.1987
Rh 12.6579 3.7445 2.2881
Rh 15.3234 3.1397 1.9186
Rh 8.4202 2.4909 1.5221
Rh 9.9925 4.3493 2.6577
La 0.0000 0.0000 0.0000
La 3.5018 1.0359 0.6330
La 21.8141 6.4531 3.9432
```

ΔH_f (0 K) (eV/atom): -0.5170
M_tot (μB per cell): 0.0
V (Å³ per cell): 221.6
Fermi-level density of states (states/eV/cell): 13.51



Entry 2:
This record from the Alexandria database describes a relaxed structure of CsAlC. The functional is GGA-PBE.

The structure in extended XYZ format:
```
12
Lattice="11.1272 0.0000 0.0000 0.0000 5.6618 0.0000 0.0000 0.0000 6.5763" Properties=species:S:1:pos:R:3 pbc="T T T"
C 0.6511 4.2464 5.5338
C 6.2147 4.2464 4.3306
C 4.9125 1.4155 2.2456
C 10.4761 1.4155 1.0425
Cs 7.2952 1.4155 6.4401
Cs 3.8320 4.2464 0.1361
Cs 9.3956 4.2464 3.1520
Cs 1.7316 1.4155 3.4243
Al 0.0000 0.0000 0.0000
Al 0.0000 2.8309 0.0000
Al 5.5636 2.8309 3.2881
Al 5.5636 0.0000 3.2881
```

ΔH_f (0 K) (eV/atom): 0.6099
M_tot (μB per cell): 0.0
V (Å³ per cell): 414.3
Fermi-level density of states (states/eV/cell): 0.01



Entry 3:
This record from the Alexandria database describes a relaxed structure of Pm6Ni2PtBr3. The functional is GGA-PBE.

The structure in extended XYZ format:
```
12
Lattice="0.0030 -1.1486 7.0236 -5.5808 -2.0034 -3.9359 5.1150 -5.8232 -2.1519" Properties=species:S:1:pos:R:3 pbc="T T T"
Br -2.0827 -4.7710 -3.1658
Br -0.2314 -4.4876 0.4679
Br 1.6200 -4.2041 4.1016
Pm -1.2859 -2.0191 -1.5697
Pm 0.8232 -6.9560 2.5055
Pm -1.0948 -7.2497 -1.2591
Pm 2.5674 -5.5787 -0.8729
Pm 0.6321 -1.7255 2.1949
Pm -3.0301 -3.3965 1.8087
Ni -3.7192 -1.7184 -0.2822
Ni -1.8585 -1.4336 3.3699
Pt 0.0000 0.0000 0.0000
```

Raw total energy (eV per atom): -5.22
M_tot (μB per cell): 0.0
V (Å³ per cell): 337.1
Fermi-level density of states (states/eV/cell): 7.45



Entry 4:
This record from the Alexandria database describes a relaxed structure of Tb6Pm2Sm3. The functional is GGA-PBE.

The structure in extended XYZ format:
```
11
Lattice="4.7740 0.0000 0.0000 0.0000 4.7740 0.0000 -2.3870 -2.3870 16.6999" Properties=species:S:1:pos:R:3 pbc="T T T"
Sm 0.0000 0.0000 0.0000
Sm 0.0000 0.0000 6.7354
Sm 2.3870 2.3870 9.9646
Tb 0.0000 2.3870 4.0441
Tb 2.3870 0.0000 12.6558
Tb 0.0000 2.3870 12.6558
Tb 0.0000 0.0000 10.1742
Tb 2.3870 2.3870 6.5257
Tb 2.3870 0.0000 4.0441
Pm 2.3870 2.3870 1.5329
Pm 0.0000 0.0000 15.1671
```

ΔH_f (0 K) (eV/atom): 0.2629
Relative energy among the computed polymorphs (kcal/mol of atoms): 1.78
M_tot (μB per cell): 0.0
V (Å³ per cell): 380.6
Fermi-level density of states (states/eV/cell): 15.70



Question: Number 3 is which compound?
Answer: Pm6Ni2PtBr3



Question: Which value of M_tot does entry 2 give?
Answer: 0.0 μB per cell



Question: What is the M_tot in the third record?
Answer: 0.0 μB per cell



Please write out number 4 again, unchanged.
This record from the Alexandria database describes a relaxed structure of Tb6Pm2Sm3. The functional is GGA-PBE.

The structure in extended XYZ format:
```
11
Lattice="4.7740 0.0000 0.0000 0.0000 4.7740 0.0000 -2.3870 -2.3870 16.6999" Properties=species:S:1:pos:R:3 pbc="T T T"
Sm 0.0000 0.0000 0.0000
Sm 0.0000 0.0000 6.7354
Sm 2.3870 2.3870 9.9646
Tb 0.0000 2.3870 4.0441
Tb 2.3870 0.0000 12.6558
Tb 0.0000 2.3870 12.6558
Tb 0.0000 0.0000 10.1742
Tb 2.3870 2.3870 6.5257
Tb 2.3870 0.0000 4.0441
Pm 2.3870 2.3870 1.5329
Pm 0.0000 0.0000 15.1671
```

ΔH_f (0 K) (eV/atom): 0.2629
Relative energy among the computed polymorphs (kcal/mol of atoms): 1.78
M_tot (μB per cell): 0.0
V (Å³ per cell): 380.6
Fermi-level density of states (states/eV/cell): 15.70